P.
A plane-wave DFT calculation with PBE was carried out for a geometry-optimized PaAlZn2 structure.

abc: 4.798 4.798 5.702
angles: 101.01 101.01 36.72
Positions (direct):
Pa: 0.000 0.000 0.000
Al: 0.500 0.500 0.500
Zn: 0.241 0.241 0.699
Zn: 0.759 0.759 0.301

Summary:
Its symmetry is C2/m. The value obtained for the density of states at the Fermi level is 4.33 states/eV per cell. For the volume, the calculation gives 19.2 Å³/atom.


Q.
A plane-wave DFT calculation with PBE was carried out for a geometry-optimized PaAlZn2 structure.

abc: 10.646 10.646 10.646
angles: 15.94 15.94 15.94
Positions (direct):
Pa: 0.000 0.000 0.000
Al: 0.500 0.500 0.500
Zn: 0.097 0.097 0.097
Zn: 0.903 0.903 0.903

Summary:
Its symmetry is R-3m. The value obtained for the density of states at the Fermi level is 3.13 states/eV per cell. For the volume, the calculation gives 19.8 Å³/atom.


Stability ranking, top entry: P; the second entry is 277 meV per atom less favorable.


P.
A plane-wave DFT calculation with PBE was carried out for a geometry-optimized PaAlZn2 structure.

abc: 4.299 4.299 4.282
angles: 90.00 90.00 90.00
Positions (direct):
Pa: 0.000 0.000 0.000
Al: 0.500 0.500 0.000
Zn: 0.000 0.500 0.500
Zn: 0.500 0.000 0.500

Summary:
Its symmetry is P4/mmm. The value obtained for the density of states at the Fermi level is 4.02 states/eV per cell. For the volume, the calculation gives 19.8 Å³/atom.


Q.
A plane-wave DFT calculation with PBE was carried out for a geometry-optimized PaAlZn2 structure.

abc: 3.248 3.248 7.031
angles: 90.00 90.00 90.00
Positions (direct):
Pa: 0.000 0.000 0.000
Al: 0.000 0.000 0.500
Zn: 0.500 0.500 0.294
Zn: 0.500 0.500 0.706

Summary:
Its symmetry is P4/mmm. The value obtained for the density of states at the Fermi level is 4.41 states/eV per cell. For the volume, the calculation gives 18.5 Å³/atom.


Stability ranking, top entry: P; the second entry is 18 meV per atom less favorable.


P.
A plane-wave DFT calculation with PBE was carried out for a geometry-optimized PaAl2Zn2 structure.

abc: 4.426 4.426 6.103
angles: 90.00 90.00 120.00
Positions (direct):
Pa: 0.000 0.000 0.000
Al: 0.333 0.667 0.694
Al: 0.667 0.333 0.306
Zn: 0.333 0.667 0.249
Zn: 0.667 0.333 0.751

Summary:
Its symmetry is P-3m1. The value obtained for the density of states at the Fermi level is 4.10 states/eV per cell. For the volume, the calculation gives 20.7 Å³/atom.


Q.
A plane-wave DFT calculation with PBE was carried out for a geometry-optimized PaAl2Zn2 structure.

abc: 6.118 6.118 6.118
angles: 140.50 140.50 57.09
Positions (direct):
Pa: 0.000 0.000 0.000
Al: 0.250 0.750 0.500
Al: 0.750 0.250 0.500
Zn: 0.389 0.389 0.000
Zn: 0.611 0.611 0.000

Summary:
Its symmetry is I4/mmm. The value obtained for the density of states at the Fermi level is 5.27 states/eV per cell. For the volume, the calculation gives 18.4 Å³/atom.


Stability ranking, top entry: Q; the second entry is 259 meV per atom less favorable.


P.
A plane-wave DFT calculation with PBE was carried out for a geometry-optimized ZrPaAl structure.

abc: 5.022 5.022 3.083
angles: 90.00 90.00 120.00
Positions (direct):
Zr: 0.000 0.000 0.000
Pa: 0.667 0.333 0.500
Al: 0.333 0.667 0.000

Summary:
Its symmetry is P-6m2. The value obtained for the density of states at the Fermi level is 5.37 states/eV per cell. For the volume, the calculation gives 22.4 Å³/atom.


Q.
A plane-wave DFT calculation with PBE was carried out for a geometry-optimized ZrPaAl structure.

abc: 5.475 5.475 5.475
angles: 139.85 139.85 58.08
Positions (direct):
Zr: 0.000 0.000 0.000
Pa: 0.299 0.299 0.000
Al: 0.628 0.628 0.000

Summary:
Its symmetry is I4mm. The value obtained for the density of states at the Fermi level is 4.58 states/eV per cell. For the volume, the calculation gives 22.5 Å³/atom.


R.
A plane-wave DFT calculation with PBE was carried out for a geometry-optimized ZrPaAl structure.

abc: 11.413 11.413 11.413
angles: 162.10 162.10 25.42
Positions (direct):
Zr: 0.067 0.067 0.000
Zr: 0.933 0.933 0.000
Pa: 0.219 0.219 0.000
Pa: 0.781 0.781 0.000
Al: 0.364 0.364 0.000
Al: 0.636 0.636 0.000

Summary:
Its symmetry is I4/mmm. The value obtained for the density of states at the Fermi level is 8.80 states/eV per cell. For the volume, the calculation gives 23.4 Å³/atom.


Stability ranking, top entry: P; the second entry is 7 meV per atom less favorable.


P.
A plane-wave DFT calculation with PBE was carried out for a geometry-optimized AlPb3 structure.

abc: 6.553 6.553 6.553
angles: 148.75 128.00 61.93
Positions (direct):
Al: 0.000 0.000 0.000
Pb: 0.222 0.722 0.500
Pb: 0.500 0.500 0.000
Pb: 0.778 0.278 0.500

Summary:
Its symmetry is Immm. The value obtained for the density of states at the Fermi level is 2.27 states/eV per cell. For the volume, the calculation gives 28.5 Å³/atom.


Q.
A plane-wave DFT calculation with PBE was carried out for a geometry-optimized AlPb3 structure.

abc: 3.448 5.121 6.649
angles: 90.00 90.00 90.00
Positions (direct):
Al: 0.000 0.000 0.000
Pb: 0.000 0.500 0.301
Pb: 0.500 0.000 0.557
Pb: 0.500 0.500 0.872

Summary:
Its symmetry is Pmm2. The value obtained for the density of states at the Fermi level is 1.50 states/eV per cell. For the volume, the calculation gives 29.3 Å³/atom.


Stability ranking, top entry: P; the second entry is 25 meV per atom less favorable.


P.
A plane-wave DFT calculation with PBE was carried out for a geometry-optimized AlPb3 structure.

abc: 6.163 6.163 6.163
angles: 90.00 90.00 90.00
Positions (direct):
Al: 0.000 0.000 0.000
Al: 0.500 0.500 0.500
Pb: 0.000 0.250 0.500
Pb: 0.000 0.750 0.500
Pb: 0.250 0.500 0.000
Pb: 0.500 0.000 0.250
Pb: 0.500 0.000 0.750
Pb: 0.750 0.500 0.000

Summary:
Its symmetry is Pm-3n. The value obtained for the density of states at the Fermi level is 4.25 states/eV per cell. For the volume, the calculation gives 29.3 Å³/atom.


Q.
A plane-wave DFT calculation with PBE was carried out for a geometry-optimized AlPb3 structure.

abc: 7.014 7.014 5.376
angles: 90.00 90.00 120.00
Positions (direct):
Al: 0.333 0.667 0.250
Al: 0.667 0.333 0.750
Pb: 0.173 0.346 0.750
Pb: 0.173 0.827 0.750
Pb: 0.346 0.173 0.250
Pb: 0.654 0.827 0.750
Pb: 0.827 0.173 0.250
Pb: 0.827 0.654 0.250

Summary:
Its symmetry is P6_3/mmc. The value obtained for the density of states at the Fermi level is 4.74 states/eV per cell. For the volume, the calculation gives 28.6 Å³/atom.


R.
A plane-wave DFT calculation with PBE was carried out for a geometry-optimized AlPb3 structure.

abc: 4.870 4.870 4.870
angles: 90.00 90.00 90.00
Positions (direct):
Al: 0.000 0.000 0.000
Pb: 0.000 0.500 0.500
Pb: 0.500 0.000 0.500
Pb: 0.500 0.500 0.000

Summary:
Its symmetry is Pm-3m. The value obtained for the density of states at the Fermi level is 1.72 states/eV per cell. For the volume, the calculation gives 28.9 Å³/atom.


Stability ranking, top entry: R; the second entry is 14 meV per atom less favorable.